# ErMoN3 (PBE-GGA, relaxed)
data_ErMoN3
_chemical_formula_sum 'Er8 Mo8 N24'
_space_group_name_H-M_alt 'C 1 2/c 1'
_space_group_IT_number 15
_space_group_name_Hall '-C 2yc'
_cell_length_a 11.1728
_cell_length_b 9.5471
_cell_length_c 6.2530
_cell_angle_alpha 90.00
_cell_angle_beta 112.73
_cell_angle_gamma 90.00
loop_
_atom_site_label
_atom_site_type_symbol
_atom_site_fract_x
_atom_site_fract_y
_atom_site_fract_z
Er1 Er 0.0000 0.0881 0.2500
Er2 Er 0.0000 0.2879 0.7500
Mo1 Mo 0.2100 0.4100 0.2217
N1 N 0.1089 0.1086 0.6546
N2 N 0.1299 0.2446 0.1649
N3 N 0.1443 0.4818 0.9182
# formation energy from raw total energies: -0.9167 eV per atom
# N(E_F): 0.000 states/eV per atom